[1]
Below is a geometry-optimized TlAs2P structure, with properties calculated at the GGA-PBE level.

Cell: 5.9646 5.9646 2.8461 Å, 90.00 90.00 122.41°
Last column: nearest neighbours and their distance in Å.
Fractional coordinates of all 4 atoms:
1 P 0.5000 0.0000 0.5000  2 P 2.85, 2 Tl 2.87
2 As 0.0000 0.0000 0.0000  4 As 2.85-2.87
3 As 0.5000 0.5000 0.0000  4 As 2.85-2.87
4 Tl 0.0000 0.5000 0.5000  2 Tl 2.85, 2 P 2.87

**Formation energy**: 612 meV/atom
**Offset from the most stable computed form**: 448 meV/atom
**Space group**: Cmmm (65)

***

[2]
Below is a geometry-optimized TlAsP2 structure, with properties calculated at the GGA-PBE level.

Cell: 5.3545 5.3545 6.0040 Å, 69.77 69.77 35.52°
Last column: nearest neighbours and their distance in Å.
Fractional coordinates of all 4 atoms:
1 Tl 0.7500 0.7500 0.7500  2 Tl 3.27, 6 P 3.41-3.50, 4 As 3.42
2 P 0.9682 0.9682 0.1457  2 P 2.29
3 P 0.5318 0.5318 0.3543  2 P 2.29
4 As 0.2500 0.2500 0.2500  4 P 2.65

**Formation energy**: 224 meV/atom
**Offset from the most stable computed form**: 37 meV/atom
**Space group**: C2/m (12)

***

[3]
Below is a geometry-optimized TlAs2P structure, with properties calculated at the GGA-PBE level.

Cell: 4.8895 4.8895 4.8895 Å, 120.07 120.07 89.87°
Last column: nearest neighbours and their distance in Å.
Fractional coordinates of all 4 atoms:
1 As 0.0000 0.0000 0.0000  4 Tl 2.99, 4 As 2.99
2 As 0.2500 0.7500 0.5000  4 P 2.99, 4 As 2.99
3 Tl 0.7500 0.2500 0.5000  4 As 2.99, 4 P 2.99
4 P 0.5000 0.5000 0.0000  4 Tl 2.99, 4 As 2.99

**Formation energy**: 572 meV/atom
**Offset from the most stable computed form**: 408 meV/atom
**Space group**: I-4m2 (119)

***

[4]
Below is a geometry-optimized TlAsP2 structure, with properties calculated at the GGA-PBE level.

Cell: 4.7913 4.7913 4.7913 Å, 60.00 60.00 60.00°
Last column: nearest neighbours and their distance in Å.
Fractional coordinates of all 4 atoms:
1 P 0.2500 0.2500 0.2500  4 Tl 2.93, 4 As 2.93
2 P 0.7500 0.7500 0.7500  4 Tl 2.93, 4 As 2.93
3 Tl 0.5000 0.5000 0.5000  8 P 2.93
4 As 0.0000 0.0000 0.0000  8 P 2.93

**Formation energy**: 687 meV/atom
**Offset from the most stable computed form**: 499 meV/atom
**Space group**: Fm-3m (225)